Compound: Rb2NiH8C2O10
Source: Alexandria
Functional: GGA+U
Structure: optimized geometry

Properties
Raw total energy = -259.52 eV/cell
Mass density = 2.7 g/cm3

Cell: 6.438 7.166 11.319 Å, 80.97 90.00 90.00°
Last column: magnetic moment on the atom in μB.
Atoms (fractional coordinates):
O1 0.290 0.302 0.587  0.03
O2 0.082 0.295 0.394  0.00
O3 0.685 0.467 0.652  0.02
O4 0.710 0.698 0.413  0.03
O5 0.675 0.281 0.437  0.02
O6 0.210 0.802 0.087  0.03
O7 0.585 0.029 0.290  0.00
O8 0.325 0.719 0.563  0.02
O9 0.315 0.533 0.348  0.02
O10 0.582 0.205 0.106  0.00
O11 0.915 0.529 0.790  0.00
O12 0.418 0.795 0.894  0.00
O13 0.185 0.033 0.848  0.02
O14 0.790 0.198 0.913  0.03
O15 0.415 0.971 0.710  0.00
O16 0.825 0.781 0.937  0.02
O17 0.918 0.705 0.606  0.00
O18 0.175 0.219 0.063  0.02
O19 0.815 0.967 0.152  0.02
O20 0.085 0.471 0.210  0.00
H1 0.120 0.304 0.118  0.00
H2 0.620 0.196 0.382  0.00
H3 0.703 0.214 0.986  0.00
H4 0.340 0.174 0.628  0.00
H5 0.325 0.200 0.085  0.00
H6 0.380 0.804 0.618  0.00
H7 0.675 0.800 0.915  0.00
H8 0.203 0.286 0.514  0.00
H9 0.660 0.826 0.372  0.00
H10 0.175 0.700 0.585  0.00
H11 0.840 0.326 0.872  0.00
H12 0.825 0.300 0.415  0.00
H13 0.880 0.696 0.882  0.00
H14 0.160 0.674 0.128  0.00
H15 0.297 0.786 0.014  0.00
H16 0.797 0.714 0.486  0.00
C1 0.162 0.433 0.318  0.00
C2 0.838 0.567 0.682  0.00
C3 0.338 0.933 0.818  0.00
C4 0.662 0.067 0.182  0.00
Rb1 0.155 0.922 0.325  0.00
Rb2 0.845 0.078 0.675  0.00
Rb3 0.345 0.422 0.825  0.00
Rb4 0.655 0.578 0.175  0.00
Ni1 0.000 0.000 0.000  1.80
Ni2 0.500 0.500 0.500  1.80